CaRuSe2 | GGA-PBE | optimized geometry

```
CaRuSe2
1.0
4.750 0.000 0.000
0.000 3.847 0.000
-1.046 0.000 4.897
Ca Ru Se
1 1 2
direct
0.000 0.000 0.000
0.500 0.000 0.500
0.314 0.500 0.712
0.686 0.500 0.288
```

Calculated values
- Crystal system: monoclinic
- Raw formation energy: -0.60 eV per atom
- Energy above the most stable polymorph in this dataset: 276 meV/atom